{"formula": "Ca3ZnCl", "functional": "meta-GGA SCAN", "state": "single point on PBEsol structure", "energy_ev_per_cell": -52.43, "raw_formation_energy_ev_per_atom": -0.39, "dos_at_fermi_per_ev_fu": 3.47, "lattice": [[-4.1191, -0.5209, -3.8045], [2.2459, -4.8523, -1.7672], [-3.1147, -2.8099, 3.7570]], "species": ["Zn", "Ca", "Ca", "Ca", "Cl"], "fractional_positions": [[0.0000, 0.0000, 0.0000], [0.0000, 0.0000, 0.5000], [0.5000, 0.0000, 0.0000], [0.0000, 0.5000, 0.0000], [0.5000, 0.5000, 0.5000]]}



{"formula": "Mg3Al12FeSi4B4O36", "functional": "meta-GGA SCAN", "state": "single point on PBEsol structure", "energy_ev_per_cell": -607.36, "raw_formation_energy_ev_per_atom": -3.12, "lattice": [[5.7818, 0.0000, 0.0000], [0.0000, 10.3681, 0.0024], [0.0000, -0.0036, 11.0180]], "species": ["B", "B", "B", "B", "Si", "Si", "Si", "Si", "O", "O", "O", "O", "O", "O", "O", "O", "O", "O", "O", "O", "O", "O", "O", "O", "O", "O", "O", "O", "O", "O", "O", "O", "O", "O", "O", "O", "O", "O", "O", "O", "O", "O", "O", "O", "Al", "Al", "Al", "Al", "Al", "Al", "Al", "Al", "Al", "Al", "Al", "Al", "Mg", "Mg", "Mg", "Fe"], "fractional_positions": [[0.0000, 0.2511, 0.0007], [0.5000, 0.7512, 0.4995], [0.5000, 0.7490, 0.0000], [0.0000, 0.2490, 0.5004], [0.0000, 0.5667, 0.7371], [0.5000, 0.4333, 0.2637], [0.0000, 0.9336, 0.2365], [0.5000, 0.0655, 0.7635], [0.2283, 0.5077, 0.6698], [0.7048, 0.6807, 0.9994], [0.0000, 0.9531, 0.6005], [0.5000, 0.0467, 0.3995], [0.5000, 0.6210, 0.5029], [0.0000, 0.7748, 0.2120], [0.5000, 0.8792, 0.0034], [0.5000, 0.4538, 0.9019], [0.2952, 0.8195, 0.4990], [0.7283, 0.0066, 0.8294], [0.0000, 0.5471, 0.1007], [0.2717, 0.0066, 0.8294], [0.7953, 0.1806, 0.5009], [0.5000, 0.1186, 0.0229], [0.5000, 0.3823, 0.5184], [0.7289, 0.4930, 0.3285], [0.2283, 0.9927, 0.1707], [0.0000, 0.7251, 0.7118], [0.0000, 0.5263, 0.8808], [0.2952, 0.6807, 0.9994], [0.2046, 0.3195, 0.0017], [0.7717, 0.9927, 0.1707], [0.0000, 0.8814, 0.9774], [0.5000, 0.2743, 0.2875], [0.7717, 0.5077, 0.6698], [0.7048, 0.8195, 0.4990], [0.7954, 0.3195, 0.0017], [0.0000, 0.9735, 0.3807], [0.5000, 0.0263, 0.6193], [0.0000, 0.3793, 0.4966], [0.2711, 0.4930, 0.3285], [0.0000, 0.6187, 0.4772], [0.2047, 0.1806, 0.5009], [0.0000, 0.1208, 0.9966], [0.5000, 0.2241, 0.7897], [0.5000, 0.4738, 0.1198], [0.2504, 0.4999, 0.4988], [0.2498, 0.5001, 0.0011], [0.5000, 0.2256, 0.4477], [0.2499, 0.0001, 0.5000], [0.7496, 0.4999, 0.4988], [0.7500, 0.0000, 0.0001], [0.7501, 0.0001, 0.5000], [0.0000, 0.7263, 0.0522], [0.5000, 0.2744, 0.9486], [0.2500, 0.0000, 0.0001], [0.7502, 0.5001, 0.0011], [0.0000, 0.7741, 0.5517], [0.5000, 0.0925, 0.2186], [0.0000, 0.5931, 0.2811], [0.0000, 0.9073, 0.7812], [0.5000, 0.4062, 0.7192]]}



{"formula": "BeP2ClF", "functional": "meta-GGA SCAN", "state": "single point on PBEsol structure", "energy_ev_per_cell": -32.61, "raw_formation_energy_ev_per_atom": 0.81, "dos_at_fermi_per_ev_fu": 3.92, "lattice": [[3.9664, 0.0000, 0.0000], [0.0000, 3.9664, 0.0000], [0.0000, 0.0000, 5.3468]], "species": ["Be", "P", "P", "Cl", "F"], "fractional_positions": [[0.5000, 0.5000, 0.5000], [0.0000, 0.5000, 0.0000], [0.5000, 0.0000, 0.0000], [0.0000, 0.0000, 0.5000], [0.0000, 0.0000, 0.0000]]}



{"formula": "Li2Mg2S3O12", "functional": "meta-GGA SCAN", "state": "single point on PBEsol structure", "energy_ev_per_cell": -640.47, "raw_formation_energy_ev_per_atom": -2.20, "dos_at_fermi_per_ev_fu": 0.00, "lattice": [[-5.9183, 5.4127, 2.9617], [-6.0427, -6.2363, -0.6779], [2.4171, -3.5778, 11.3686]], "species": ["O", "O", "O", "O", "O", "O", "O", "O", "O", "O", "O", "O", "O", "O", "O", "O", "O", "O", "O", "O", "O", "O", "O", "O", "O", "O", "O", "O", "O", "O", "O", "O", "O", "O", "O", "O", "O", "O", "O", "O", "O", "O", "O", "O", "O", "O", "O", "O", "S", "S", "S", "S", "S", "S", "S", "S", "S", "S", "S", "S", "Mg", "Mg", "Mg", "Mg", "Mg", "Mg", "Mg", "Mg", "Li", "Li", "Li", "Li", "Li", "Li", "Li", "Li"], "fractional_positions": [[0.3331, 0.2574, 0.6818], [0.1518, 0.6686, 0.5789], [0.1669, 0.7574, 0.8182], [0.8516, 0.4316, 0.0357], [0.3303, 0.9853, 0.7234], [0.8482, 0.1686, 0.5789], [0.4320, 0.8926, 0.3399], [0.0680, 0.1074, 0.8399], [0.3516, 0.0684, 0.5357], [0.1697, 0.0147, 0.2234], [0.6518, 0.6686, 0.9211], [0.9320, 0.6074, 0.8399], [0.6484, 0.5684, 0.5357], [0.8516, 0.0684, 0.9643], [0.3516, 0.4316, 0.4643], [0.6669, 0.7426, 0.3182], [0.3331, 0.2426, 0.3182], [0.9537, 0.8595, 0.5627], [0.3482, 0.3314, 0.0789], [0.5463, 0.1405, 0.0627], [0.6669, 0.7574, 0.6818], [0.1484, 0.9316, 0.0357], [0.8331, 0.2426, 0.1818], [0.4537, 0.6405, 0.0627], [0.1669, 0.7426, 0.1818], [0.3482, 0.1686, 0.9211], [0.1518, 0.8314, 0.4211], [0.6484, 0.9316, 0.4643], [0.9537, 0.6405, 0.4373], [0.0463, 0.1405, 0.4373], [0.8482, 0.3314, 0.4211], [0.5680, 0.1074, 0.6601], [0.1484, 0.5684, 0.9643], [0.9320, 0.8926, 0.1601], [0.0463, 0.3595, 0.5627], [0.8331, 0.2574, 0.8182], [0.4320, 0.6074, 0.6601], [0.8303, 0.9853, 0.7766], [0.0680, 0.3926, 0.1601], [0.6697, 0.4853, 0.7234], [0.6518, 0.8314, 0.0789], [0.5463, 0.3595, 0.9373], [0.8303, 0.5147, 0.2234], [0.4537, 0.8595, 0.9373], [0.1697, 0.4853, 0.7766], [0.6697, 0.0147, 0.2766], [0.5680, 0.3926, 0.3399], [0.3303, 0.5147, 0.2766], [0.4529, 0.2500, 0.0000], [0.3952, 0.1047, 0.6486], [0.8952, 0.1047, 0.8514], [0.9529, 0.2500, 0.5000], [0.1048, 0.8953, 0.1486], [0.6048, 0.8953, 0.3514], [0.1048, 0.6047, 0.8514], [0.5471, 0.7500, 0.0000], [0.6048, 0.6047, 0.6486], [0.8952, 0.3953, 0.1486], [0.3952, 0.3953, 0.3514], [0.0471, 0.7500, 0.5000], [0.2458, 0.0415, 0.3896], [0.7542, 0.5415, 0.3896], [0.7458, 0.0415, 0.1104], [0.7458, 0.4585, 0.8896], [0.7542, 0.9585, 0.6104], [0.2458, 0.4585, 0.6104], [0.2542, 0.9585, 0.8896], [0.2542, 0.5415, 0.1104], [0.7854, 0.7228, 0.1810], [0.2146, 0.2228, 0.1810], [0.2146, 0.2772, 0.8190], [0.2854, 0.7228, 0.3190], [0.2854, 0.7772, 0.6810], [0.7146, 0.2228, 0.3190], [0.7146, 0.2772, 0.6810], [0.7854, 0.7772, 0.8190]]}



{"formula": "ZrMn2Au", "functional": "meta-GGA SCAN", "state": "single point on PBEsol structure", "energy_ev_per_cell": -138.09, "delta_e_f_ev_per_atom": -0.4306, "dos_at_fermi_per_ev_fu": 2.83, "lattice": [[-1.2244, -2.8029, -2.3023], [3.2523, 0.2276, -2.0067], [0.7653, -1.5903, 4.7119]], "species": ["Au", "Zr", "Mn", "Mn"], "fractional_positions": [[0.0000, 0.0000, 0.0000], [0.7500, 0.2500, 0.5000], [0.5000, 0.5000, 0.0000], [0.2500, 0.7500, 0.5000]]}



{"formula": "TeI2BrCl", "functional": "meta-GGA SCAN", "state": "single point on PBEsol structure", "energy_ev_per_cell": -135.03, "raw_formation_energy_ev_per_atom": 0.63, "dos_at_fermi_per_ev_fu": 6.15, "lattice": [[-0.5546, -5.5596, -0.9170], [3.2560, 0.4358, -4.6115], [4.5648, -0.9718, 3.1312]], "species": ["I", "I", "Br", "Cl", "Te"], "fractional_positions": [[0.0000, 0.5000, 0.0000], [0.5000, 0.0000, 0.0000], [0.0000, 0.0000, 0.0000], [0.5000, 0.5000, 0.5000], [0.0000, 0.0000, 0.5000]]}